Entry 1:
Compound: In3W
Source: Alexandria via LeMat-Bulk
Functional: PBE
Structure: optimized geometry

Properties
Energy relative to the lowest polymorph listed for this composition: 0 meV per atom
Energy of formation from the pure elements: 0.471 eV per atom

Lattice parameters (Å, degrees): 10.827 10.827 10.827 16.33 16.33 16.33
Element x y z (fractional)
In 0.741 0.741 0.741
In 0.500 0.500 0.500
In 0.259 0.259 0.259
W 0.000 0.000 0.000


Entry 2:
Compound: GaRhI2O
Source: Alexandria via LeMat-Bulk
Functional: PBE
Structure: optimized geometry

Properties
Energy relative to the lowest polymorph listed for this composition: 302 meV per atom
Uncorrected formation energy: 0.080 eV/atom

Lattice parameters (Å, degrees): 5.684 5.684 3.552 90.00 90.00 90.00
Last column: magnetic moment on the atom in μB.
Element x y z (fractional)
I 0.000 0.500 0.000  0.11
I 0.500 0.000 0.000  0.11
Rh 0.500 0.500 0.500  1.41
O 0.000 0.000 0.500  0.00
Ga 0.000 0.000 0.000  -0.01


Entry 3:
Compound: TaMnNbRe
Source: Alexandria via LeMat-Bulk
Functional: PBE
Structure: optimized geometry

Properties
Energy of formation from the pure elements: -0.241 eV per atom

Lattice parameters (Å, degrees): 4.450 4.450 4.450 60.00 60.00 60.00
Element x y z (fractional)
Re 0.250 0.250 0.250
Nb 0.000 0.000 0.000
Mn 0.750 0.750 0.750
Ta 0.500 0.500 0.500


Entry 4:
Compound: Pa3P4Pd7
Source: Alexandria via LeMat-Bulk
Functional: PBE
Structure: optimized geometry

Properties
Energy of formation from the pure elements: -0.846 eV per atom

Lattice parameters (Å, degrees): 4.001 7.858 8.446 71.04 76.30 75.25
Element x y z (fractional)
Pa 0.314 0.187 0.185
Pa 0.686 0.813 0.815
Pa 0.000 0.500 0.500
P 0.651 0.431 0.266
P 0.349 0.569 0.734
P 0.893 0.891 0.322
P 0.107 0.109 0.678
Pd 0.315 0.860 0.510
Pd 0.485 0.227 0.802
Pd 0.831 0.403 0.935
Pd 0.685 0.140 0.490
Pd 0.169 0.597 0.065
Pd 0.000 0.000 0.000
Pd 0.515 0.773 0.198


Entry 5:
Compound: Sm2Ho12Zr
Source: Alexandria via LeMat-Bulk
Functional: PBE
Structure: optimized geometry

Properties
Energy of formation from the pure elements: 0.149 eV per atom

Lattice parameters (Å, degrees): 6.629 6.629 23.907 86.49 93.51 63.79
Element x y z (fractional)
Sm 0.532 0.968 0.267
Sm 0.033 0.467 0.266
Sm 0.968 0.532 0.733
Sm 0.467 0.033 0.734
Ho 0.508 0.492 0.805
Ho 0.008 0.992 0.805
Ho 0.761 0.739 0.880
Ho 0.323 0.677 0.934
Ho 0.057 0.942 0.327
Ho 0.177 0.823 0.066
Ho 0.649 0.354 0.556
Ho 0.558 0.443 0.327
Ho 0.261 0.239 0.880
Ho 0.739 0.761 0.120
Ho 0.156 0.344 0.576
Ho 0.851 0.146 0.444
Ho 0.942 0.057 0.673
Ho 0.344 0.156 0.424
Ho 0.239 0.261 0.120
Ho 0.847 0.653 0.426
Ho 0.653 0.847 0.574
Ho 0.992 0.008 0.195
Ho 0.146 0.851 0.556
Ho 0.443 0.558 0.673
Ho 0.823 0.177 0.934
Ho 0.492 0.508 0.195
Ho 0.354 0.649 0.444
Ho 0.677 0.323 0.066
Zr 0.501 0.999 0.000
Zr 0.999 0.501 0.000


Entry 6:
Compound: TlReSe2
Source: Alexandria via LeMat-Bulk
Functional: PBE
Structure: optimized geometry

Properties
Energy relative to the lowest polymorph listed for this composition: 538 meV per atom
Uncorrected formation energy: 0.541 eV/atom

Lattice parameters (Å, degrees): 10.942 10.942 10.942 16.02 16.02 16.02
Element x y z (fractional)
Re 0.000 0.000 0.000
Tl 0.500 0.500 0.500
Se 0.926 0.926 0.926
Se 0.074 0.074 0.074


no.,calculated volume (Å³/cell)
1,87
2,115
3,62
4,239
5,936
6,87